Entry 1:
Pm4NdPu3S8: optimized geometry, PBE.

abc: 8.032 8.032 8.032
angles: 59.77 59.77 59.77
Fractional positions:
1 Pm 0.000 0.000 0.000
2 Pm 0.000 0.500 0.500
3 Pm 0.500 0.000 0.500
4 Pm 0.500 0.500 0.000
5 Nd 0.500 0.500 0.500
6 Pu 0.000 0.000 0.500
7 Pu 0.000 0.500 0.000
8 Pu 0.500 0.000 0.000
9 S 0.244 0.751 0.751
10 S 0.247 0.247 0.247
11 S 0.249 0.249 0.756
12 S 0.249 0.756 0.249
13 S 0.751 0.244 0.751
14 S 0.751 0.751 0.244
15 S 0.753 0.753 0.753
16 S 0.756 0.249 0.249

Computed properties:
calculated total energy	-8.186	eV per atom
space-group type	R-3m, No. 166
E_form (uncorrected)	-1950	meV per atom
V	22.78	Å³/atom
density of states at the Fermi level	25.408	states/eV/f.u.

---

Entry 2:
Rb3BrN: optimized geometry, PBE.

abc: 5.682 5.682 5.682
angles: 90.00 90.00 90.00
Fractional positions:
1 Rb 0.000 0.000 0.500
2 Rb 0.000 0.500 0.000
3 Rb 0.500 0.000 0.000
4 Br 0.500 0.500 0.500
5 N 0.000 0.000 0.000

Computed properties:
calculated total energy	-2.805	eV per atom
space-group type	Pm-3m, No. 221
E_form (uncorrected)	-224	meV per atom
V	36.68	Å³/atom
density of states at the Fermi level	6.400	states/eV/f.u.

---

Entry 3:
Zn2CdSn2Pd5: optimized geometry, PBE.

abc: 9.801 9.801 3.660
angles: 90.00 90.00 90.00
Fractional positions:
1 Zn 0.131 0.369 0.000
2 Zn 0.369 0.869 0.000
3 Zn 0.631 0.131 0.000
4 Zn 0.869 0.631 0.000
5 Cd 0.000 0.000 0.000
6 Cd 0.500 0.500 0.000
7 Sn 0.164 0.664 0.000
8 Sn 0.336 0.164 0.000
9 Sn 0.664 0.836 0.000
10 Sn 0.836 0.336 0.000
11 Pd 0.000 0.500 0.500
12 Pd 0.116 0.180 0.500
13 Pd 0.180 0.884 0.500
14 Pd 0.320 0.384 0.500
15 Pd 0.384 0.680 0.500
16 Pd 0.500 0.000 0.500
17 Pd 0.616 0.320 0.500
18 Pd 0.680 0.616 0.500
19 Pd 0.820 0.116 0.500
20 Pd 0.884 0.820 0.500

Computed properties:
calculated total energy	-4.079	eV per atom
space-group type	P4/mbm, No. 127
V	17.58	Å³/atom
formation enthalpy at 0 K	-0.336	eV per atom
density of states at the Fermi level	3.496	states/eV/f.u.

---

Entry 4:
NaSiP3: optimized geometry, PBE.

abc: 4.628 4.628 4.628
angles: 90.00 90.00 90.00
Fractional positions:
1 Na 0.000 0.000 0.000
2 Si 0.500 0.500 0.500
3 P 0.000 0.500 0.500
4 P 0.500 0.000 0.500
5 P 0.500 0.500 0.000

Computed properties:
calculated total energy	-4.121	eV per atom
space-group type	Pm-3m, No. 221
E_form (uncorrected)	473	meV per atom
V	19.83	Å³/atom
density of states at the Fermi level	3.745	states/eV/f.u.

---

Entry 5:
LaBeZn2: optimized geometry, PBE.

abc: 3.461 4.035 5.942
angles: 90.00 106.67 90.00
Fractional positions:
1 La 0.000 0.000 0.000
2 Be 0.365 0.500 0.729
3 Zn 0.276 0.000 0.541
4 Zn 0.714 0.500 0.422

Computed properties:
calculated total energy	-2.786	eV per atom
space-group type	Pm, No. 6
V	19.87	Å³/atom
formation enthalpy at 0 K	0.014	eV per atom
density of states at the Fermi level	3.081	states/eV/f.u.

---

Entry 6:
KZrTl: optimized geometry, PBE.

abc: 11.613 11.613 11.613
angles: 162.53 155.63 30.14
Fractional positions:
1 K 0.187 0.187 0.000
2 K 0.813 0.813 0.000
3 Zr 0.000 0.500 0.500
4 Zr 0.500 0.000 0.500
5 Tl 0.388 0.388 0.000
6 Tl 0.612 0.612 0.000

Computed properties:
calculated total energy	-3.802	eV per atom
space-group type	Immm, No. 71
V	32.31	Å³/atom
formation enthalpy at 0 K	0.202	eV per atom
density of states at the Fermi level	2.575	states/eV/f.u.

---

Entry 7:
CePm3Sm4: optimized geometry, PBE.

abc: 12.861 12.861 6.181
angles: 95.32 95.32 15.48
Fractional positions:
1 Ce 0.000 0.000 0.000
2 Pm 0.356 0.356 0.256
3 Pm 0.500 0.500 0.500
4 Pm 0.644 0.644 0.744
5 Sm 0.221 0.221 0.237
6 Sm 0.395 0.395 0.773
7 Sm 0.605 0.605 0.227
8 Sm 0.779 0.779 0.763

Computed properties:
calculated total energy	-4.647	eV per atom
space-group type	C2/m, No. 12
V	33.97	Å³/atom
formation enthalpy at 0 K	0.236	eV per atom
density of states at the Fermi level	13.589	states/eV/f.u.

---

Entry 8:
LiZn2Au: optimized geometry, PBE.

abc: 4.678 4.678 4.023
angles: 115.07 115.07 50.62
Fractional positions:
1 Li 0.000 0.000 0.000
2 Zn 0.250 0.250 0.752
3 Zn 0.750 0.750 0.248
4 Au 0.500 0.500 0.500

Computed properties:
calculated total energy	-2.297	eV per atom
space-group type	C2/m, No. 12
V	15.02	Å³/atom
formation enthalpy at 0 K	-0.362	eV per atom
density of states at the Fermi level	0.634	states/eV/f.u.

---

Entry 9:
PmEr2CdPd4: optimized geometry, PBE.

abc: 8.470 8.470 8.470
angles: 33.59 33.59 33.59
Fractional positions:
1 Pm 0.000 0.000 0.000
2 Er 0.243 0.243 0.243
3 Er 0.757 0.757 0.757
4 Cd 0.500 0.500 0.500
5 Pd 0.122 0.122 0.122
6 Pd 0.377 0.377 0.377
7 Pd 0.623 0.623 0.623
8 Pd 0.878 0.878 0.878

Computed properties:
calculated total energy	-5.226	eV per atom
space-group type	R-3m, No. 166
V	20.71	Å³/atom
formation enthalpy at 0 K	-0.781	eV per atom
density of states at the Fermi level	4.994	states/eV/f.u.

---

Entry 10:
BaAcHg6: optimized geometry, PBE.

abc: 5.282 7.210 7.210
angles: 60.07 90.00 90.00
Fractional positions:
1 Ba 0.000 0.000 0.000
2 Ac 0.500 0.677 0.677
3 Hg 0.000 0.025 0.489
4 Hg 0.000 0.489 0.025
5 Hg 0.000 0.502 0.502
6 Hg 0.500 0.185 0.185
7 Hg 0.500 0.195 0.633
8 Hg 0.500 0.633 0.195

Computed properties:
calculated total energy	-1.388	eV per atom
space-group type	Amm2, No. 38
V	29.75	Å³/atom
formation enthalpy at 0 K	-0.407	eV per atom
density of states at the Fermi level	7.251	states/eV/f.u.

---

Entry 11:
AcPrCoGe: optimized geometry, PBE.

abc: 5.273 5.273 5.273
angles: 60.00 60.00 60.00
Fractional positions:
1 Ac 0.000 0.000 0.000
2 Pr 0.500 0.500 0.500
3 Co 0.750 0.750 0.750
4 Ge 0.250 0.250 0.250

Computed properties:
calculated total energy	-5.338	eV per atom
space-group type	F-43m, No. 216
V	25.92	Å³/atom
formation enthalpy at 0 K	-0.185	eV per atom
density of states at the Fermi level	2.296	states/eV/f.u.

---

Entry 12:
Pb2C2IO6: optimized geometry, PBE.

abc: 5.278 6.294 6.702
angles: 90.38 104.49 112.77
Fractional positions:
1 Pb 0.110 0.290 0.219
2 Pb 0.890 0.710 0.781
3 C 0.258 0.313 0.822
4 C 0.742 0.687 0.178
5 I 0.500 0.000 0.500
6 O 0.175 0.460 0.895
7 O 0.235 0.130 0.916
8 O 0.368 0.359 0.667
9 O 0.632 0.641 0.333
10 O 0.765 0.870 0.084
11 O 0.825 0.540 0.105

Computed properties:
calculated total energy	-6.333	eV per atom
space-group type	P-1, No. 2
E_form (uncorrected)	-1136	meV per atom
V	17.95	Å³/atom
density of states at the Fermi level	0.235	states/eV/f.u.